Computed, not measured: an optimized crystal structure of Be2CoRh at the GGA-PBE level of DFT.

Summary:
energy of formation from the pure elements = -0.1449 eV/atom
calculated total energy = -5.62 eV/atom
DOS(E_F) = 0.83 states/eV/atom
V = 10.6 A^3/atom

Unit cell a=5.5332 b=5.5332 c=5.5332 alpha=90.00 beta=90.00 gamma=90.00
Element x y z (fractional)
Be 0.0000 0.0000 0.0000
Be 0.0000 0.5000 0.5000
Be 0.2500 0.2500 0.2500
Be 0.2500 0.7500 0.7500
Be 0.5000 0.0000 0.5000
Be 0.5000 0.5000 0.0000
Be 0.7500 0.2500 0.7500
Be 0.7500 0.7500 0.2500
Co 0.2500 0.2500 0.7500
Co 0.2500 0.7500 0.2500
Co 0.7500 0.2500 0.2500
Co 0.7500 0.7500 0.7500
Rh 0.0000 0.0000 0.5000
Rh 0.0000 0.5000 0.0000
Rh 0.5000 0.0000 0.0000
Rh 0.5000 0.5000 0.5000